Record 1
Here is a relaxed structure of SiSnP from Alexandria via LeMat-Bulk. Energies are from GGA-PBE.

Cell: 3.515 4.160 9.706 Å, 90.00 100.34 90.00°
Fractional coordinates of all 6 atoms:
Sn  0.305  0.750  0.108
P  0.395  0.250  0.288
Sn  0.695  0.250  0.892
Si  0.969  0.250  0.437
P  0.605  0.750  0.712
Si  0.031  0.750  0.563

Calculated values
The value obtained for the formation energy (no corrections) is -0.037 eV per atom. The crystal system is monoclinic. The value obtained for the relative energy among the computed polymorphs is 0.0000 eV/atom.

***

Record 2
Here is a relaxed structure of ThU2TcC4 from Alexandria via LeMat-Bulk. Energies are from GGA-PBE.

Cell: 3.535 6.236 11.471 Å, 90.00 90.00 106.47°
Fractional coordinates of all 16 atoms:
C  0.264  0.528  0.116
U  0.630  0.260  0.050
Tc  0.149  0.298  0.250
U  0.370  0.740  0.950
Th  0.890  0.779  0.250
Tc  0.851  0.702  0.750
C  0.264  0.528  0.384
C  0.736  0.472  0.884
C  0.000  0.000  0.000
Th  0.110  0.221  0.750
U  0.630  0.260  0.450
C  0.736  0.472  0.616
C  0.452  0.905  0.750
C  0.000  0.000  0.500
C  0.548  0.095  0.250
U  0.370  0.740  0.550

Calculated values
The value obtained for the energy of formation from the pure elements is -0.121 eV per atom. The crystal system is orthorhombic.

***

Record 3
Here is a relaxed structure of YW2Au from Alexandria via LeMat-Bulk. Energies are from GGA-PBE.

Cell: 5.591 5.591 5.591 Å, 138.09 138.09 60.77°
Fractional coordinates of all 4 atoms:
Y  0.250  0.750  0.500
W  0.000  0.000  0.000
Au  0.750  0.250  0.500
W  0.500  0.500  0.000

Calculated values
The value obtained for the energy of formation from the pure elements is 0.455 eV per atom. The crystal system is tetragonal. The value obtained for the relative energy among the computed polymorphs is 0.3172 eV/atom.

***

Record 4
Here is a relaxed structure of CdSiW2 from Alexandria via LeMat-Bulk. Energies are from GGA-PBE.

Cell: 9.407 9.407 9.407 Å, 17.48 17.48 17.48°
Fractional coordinates of all 4 atoms:
Si  0.750  0.750  0.750
Cd  0.250  0.250  0.250
W  0.008  0.008  0.008
W  0.492  0.492  0.492

Calculated values
The value obtained for the formation energy (no corrections) is 0.410 eV per atom. The crystal system is trigonal. The value obtained for the relative energy among the computed polymorphs is 0.0513 eV/atom.

***

Number 1: theoretical density 4.228 Mg/m³. Number 2: theoretical density 11.697 Mg/m³. Number 3: theoretical density 14.067 Mg/m³. Number 4: theoretical density 12.877 Mg/m³.